Entry from Alexandria: an optimized crystal structure of CsRb2VF5 (PBE with a Hubbard U).

Calculated values
Theoretical density   4066 kg/m³
Magnetic moment   3.0 μB/f.u.
Energy   -44.11 eV for the cell shown

```
data_CsRb2VF5
_cell_length_a 4.275
_cell_length_b 6.589
_cell_length_c 7.613
_cell_angle_alpha 115.64
_cell_angle_beta 106.31
_cell_angle_gamma 90.00
_symmetry_space_group_name_H-M 'P 1'
_symmetry_Int_Tables_number 1
loop_
_symmetry_equiv_pos_as_xyz
'x,y,z'
loop_
_atom_site_label
_atom_site_fract_x
_atom_site_fract_y
_atom_site_fract_z
F1 0.380 0.105 0.761
F2 0.000 0.000 0.000
F3 0.380 0.656 0.761
F4 0.620 0.344 0.239
F5 0.620 0.895 0.239
Rb1 0.784 0.784 0.569
Rb2 0.216 0.216 0.431
V1 0.500 0.000 0.000
Cs1 0.000 0.500 0.000
```